# Li5CuPd PBE-GGA optimized geometry
# Uncorrected energy (eV/atom): -2.78
# Excess energy over the best structure of this formula in the dataset (meV per atom): 19
data_Li5CuPd
_cell_length_a 4.177
_cell_length_b 4.177
_cell_length_c 6.479
_cell_angle_alpha 90.00
_cell_angle_beta 90.00
_cell_angle_gamma 90.00
_symmetry_space_group_name_H-M 'P 4/m m m'
_symmetry_Int_Tables_number 123
_symmetry_space_group_name_Hall '-P 4 2'
loop_
_atom_site_label
_atom_site_fract_x
_atom_site_fract_y
_atom_site_fract_z
Li1 0.000 0.000 0.000
Li2 0.000 0.500 0.268
Cu1 0.000 0.000 0.500
Pd1 0.500 0.500 0.000

# LiCu6Pd12 PBE-GGA optimized geometry
# Uncorrected energy (eV/atom): -4.78
# Excess energy over the best structure of this formula in the dataset (meV per atom): 0
data_LiCu6Pd12
_cell_length_a 11.8881
_cell_length_b 11.8881
_cell_length_c 6.6607
_cell_angle_alpha 90.00
_cell_angle_beta 90.00
_cell_angle_gamma 120.00
_symmetry_space_group_name_H-M 'R -3'
_symmetry_Int_Tables_number 148
_symmetry_space_group_name_Hall '-R 3'
loop_
_atom_site_label
_atom_site_fract_x
_atom_site_fract_y
_atom_site_fract_z
Li1 0.0000 0.0000 0.0000
Cu1 0.0345 0.2808 0.3307
Pd1 0.0146 0.1415 0.6654
Pd2 0.0683 0.5607 0.6697

# LiCu4Pd2 PBE-GGA optimized geometry
# Uncorrected energy (eV/atom): -4.15
# Excess energy over the best structure of this formula in the dataset (meV per atom): 0
data_LiCu4Pd2
_cell_length_a 4.198
_cell_length_b 7.299
_cell_length_c 12.667
_cell_angle_alpha 90.00
_cell_angle_beta 90.00
_cell_angle_gamma 90.00
_symmetry_space_group_name_H-M 'C m c m'
_symmetry_Int_Tables_number 63
_symmetry_space_group_name_Hall '-C 2c 2'
loop_
_atom_site_label
_atom_site_fract_x
_atom_site_fract_y
_atom_site_fract_z
Li1 0.000 0.003 0.250
Cu1 0.000 0.000 0.000
Cu2 0.000 0.329 0.750
Cu3 0.000 0.336 0.151
Pd1 0.000 0.333 0.558

# Li3Cu2Pd6 PBE-GGA optimized geometry
# Uncorrected energy (eV/atom): -4.31
data_Li3Cu2Pd6
_cell_length_a 5.122
_cell_length_b 5.198
_cell_length_c 6.790
_cell_angle_alpha 73.45
_cell_angle_beta 74.19
_cell_angle_gamma 69.73
_symmetry_space_group_name_H-M 'P -1'
_symmetry_Int_Tables_number 2
_symmetry_space_group_name_Hall '-P 1'
loop_
_atom_site_label
_atom_site_fract_x
_atom_site_fract_y
_atom_site_fract_z
Li1 0.000 0.000 0.000
Li2 0.466 0.748 0.539
Cu1 0.333 0.587 0.143
Pd1 0.016 0.225 0.550
Pd2 0.174 0.452 0.816
Pd3 0.357 0.075 0.182

Number 1: spin magnetization 0.00 μB per cell. Number 2: spin magnetization 0.00 μB per cell. Number 3: spin magnetization 0.00 μB per cell. Number 4: spin magnetization 0.00 μB per cell.